Version w
Entry from the Alexandria database: NdTlInPb after structural relaxation (PBE).

Cell lengths 7.8151, 7.8151, 7.8151 Å; angles 90.00, 90.00, 90.00 degrees
With the nearest neighbours (Å) after each atom.
Positions (direct):
Nd: 0.0000 0.0000 0.0000  4 Tl 3.38, 4 In 3.38
Nd: 0.0000 0.5000 0.5000  4 Tl 3.38, 4 In 3.38
Nd: 0.5000 0.0000 0.5000  4 Tl 3.38, 4 In 3.38
Nd: 0.5000 0.5000 0.0000  4 Tl 3.38, 4 In 3.38
Tl: 0.2500 0.2500 0.7500  4 Pb 3.38, 4 Nd 3.38
Tl: 0.2500 0.7500 0.2500  4 Pb 3.38, 4 Nd 3.38
Tl: 0.7500 0.2500 0.2500  4 Pb 3.38, 4 Nd 3.38
Tl: 0.7500 0.7500 0.7500  4 Pb 3.38, 4 Nd 3.38
In: 0.2500 0.2500 0.2500  4 Pb 3.38, 4 Nd 3.38
In: 0.2500 0.7500 0.7500  4 Pb 3.38, 4 Nd 3.38
In: 0.7500 0.2500 0.7500  4 Pb 3.38, 4 Nd 3.38
In: 0.7500 0.7500 0.2500  4 Pb 3.38, 4 Nd 3.38
Pb: 0.0000 0.0000 0.5000  4 In 3.38, 4 Tl 3.38
Pb: 0.0000 0.5000 0.0000  4 In 3.38, 4 Tl 3.38
Pb: 0.5000 0.0000 0.0000  4 In 3.38, 4 Tl 3.38
Pb: 0.5000 0.5000 0.5000  4 In 3.38, 4 Tl 3.38

Properties
Size of the total moment ... 0.00 μB per cell

Version x
Entry from the Alexandria database: NdTlInPb after structural relaxation (PBE).

Cell lengths 4.7129, 4.7698, 5.0091 Å; angles 90.00, 90.00, 90.00 degrees
With the nearest neighbours (Å) after each atom.
Positions (direct):
Nd: 0.0000 0.0000 0.0000  4 Pb 3.35, 4 Tl 3.44, 4 In 3.46
Tl: 0.5000 0.0000 0.5000  4 In 3.35, 4 Nd 3.44, 4 Pb 3.46
In: 0.0000 0.5000 0.5000  4 Tl 3.35, 4 Pb 3.44, 4 Nd 3.46
Pb: 0.5000 0.5000 0.0000  4 Nd 3.35, 4 In 3.44, 4 Tl 3.46

Properties
Size of the total moment ... 0.00 μB per cell

The structure with the least stability is version w.

Version w
Entry from the Alexandria database: NdYInPb after structural relaxation (PBE).

Cell lengths 5.0510, 5.0510, 8.9591 Å; angles 90.00, 90.00, 90.00 degrees
With the nearest neighbours (Å) after each atom.
Positions (direct):
Nd: 0.0000 0.0000 0.0000  4 In 3.38, 4 Pb 3.38, 4 Y 3.57
Nd: 0.5000 0.5000 0.5000  4 In 3.38, 4 Pb 3.38, 4 Y 3.57
Y: 0.0000 0.0000 0.5000  4 In 3.38, 4 Pb 3.38, 4 Nd 3.57
Y: 0.5000 0.5000 0.0000  4 In 3.38, 4 Pb 3.38, 4 Nd 3.57
In: 0.0000 0.5000 0.2500  4 Nd 3.38, 4 Y 3.38, 4 Pb 3.57
In: 0.5000 0.0000 0.7500  4 Nd 3.38, 4 Y 3.38, 4 Pb 3.57
Pb: 0.0000 0.5000 0.7500  4 Nd 3.38, 4 Y 3.38, 4 In 3.57
Pb: 0.5000 0.0000 0.2500  4 Nd 3.38, 4 Y 3.38, 4 In 3.57

Properties
Size of the total moment ... 0.00 μB per cell

Version x
Entry from the Alexandria database: NdYInPb after structural relaxation (PBE).

Cell lengths 7.7349, 7.7349, 7.7349 Å; angles 90.00, 90.00, 90.00 degrees
With the nearest neighbours (Å) after each atom.
Positions (direct):
Nd: 0.0000 0.0000 0.0000  4 In 3.35, 4 Pb 3.35
Nd: 0.0000 0.5000 0.5000  4 In 3.35, 4 Pb 3.35
Nd: 0.5000 0.0000 0.5000  4 In 3.35, 4 Pb 3.35
Nd: 0.5000 0.5000 0.0000  4 In 3.35, 4 Pb 3.35
Y: 0.0000 0.0000 0.5000  4 In 3.35, 4 Pb 3.35
Y: 0.0000 0.5000 0.0000  4 In 3.35, 4 Pb 3.35
Y: 0.5000 0.0000 0.0000  4 In 3.35, 4 Pb 3.35
Y: 0.5000 0.5000 0.5000  4 In 3.35, 4 Pb 3.35
In: 0.2500 0.2500 0.7500  4 Nd 3.35, 4 Y 3.35
In: 0.2500 0.7500 0.2500  4 Nd 3.35, 4 Y 3.35
In: 0.7500 0.2500 0.2500  4 Nd 3.35, 4 Y 3.35
In: 0.7500 0.7500 0.7500  4 Nd 3.35, 4 Y 3.35
Pb: 0.2500 0.2500 0.2500  4 Nd 3.35, 4 Y 3.35
Pb: 0.2500 0.7500 0.7500  4 Nd 3.35, 4 Y 3.35
Pb: 0.7500 0.2500 0.7500  4 Nd 3.35, 4 Y 3.35
Pb: 0.7500 0.7500 0.2500  4 Nd 3.35, 4 Y 3.35

Properties
Size of the total moment ... 0.00 μB per cell

The structure with the least stability is version x.

Version w
Entry from the Alexandria database: Nd4InPd after structural relaxation (PBE).

Cell lengths 10.9270, 10.9270, 6.5928 Å; angles 90.00, 90.00, 150.51 degrees
With the nearest neighbours (Å) after each atom.
Positions (direct):
Nd: 0.0531 0.9469 0.5000  1 Pd 2.81
Nd: 0.1956 0.8044 0.7668  1 Pd 2.91, 1 Nd 3.21
Nd: 0.2088 0.7912 0.2816  5 Nd 3.21-3.59, 1 Pd 3.27, 3 In 3.40-3.41
Nd: 0.3932 0.6068 0.5320  2 Pd 2.84
Nd: 0.6068 0.3932 0.0320  2 Pd 2.84
Nd: 0.7912 0.2088 0.7816  5 Nd 3.21-3.59, 1 Pd 3.27, 3 In 3.40-3.41
Nd: 0.8044 0.1956 0.2668  1 Pd 2.91, 1 Nd 3.21
Nd: 0.9469 0.0531 0.0000  1 Pd 2.81
In: 0.3476 0.6524 0.0205  10 Nd 3.35-3.62
In: 0.6524 0.3476 0.5205  10 Nd 3.35-3.62
Pd: 0.0801 0.9199 0.0071  4 Nd 2.81-2.91
Pd: 0.9199 0.0801 0.5071  4 Nd 2.81-2.91

Properties
Size of the total moment ... 0.00 μB per cell

Version x
Entry from the Alexandria database: Nd4InPd after structural relaxation (PBE).

Cell lengths 10.0517, 10.0517, 10.0517 Å; angles 60.00, 60.00, 60.00 degrees
With the nearest neighbours (Å) after each atom.
Positions (direct):
Nd: 0.0557 0.0557 0.4443  2 Pd 2.98
Nd: 0.0557 0.4443 0.0557  2 Pd 2.98
Nd: 0.0557 0.4443 0.4443  2 Pd 2.98
Nd: 0.1859 0.1859 0.8141  2 In 3.41, 2 Pd 3.65, 10 Nd 3.65-3.75
Nd: 0.1859 0.8141 0.1859  2 In 3.41, 2 Pd 3.65, 10 Nd 3.65-3.75
Nd: 0.1859 0.8141 0.8141  2 In 3.41, 2 Pd 3.65, 10 Nd 3.65-3.75
Nd: 0.1948 0.6017 0.6017  3 Pd 2.96
Nd: 0.4443 0.0557 0.0557  2 Pd 2.98
Nd: 0.4443 0.0557 0.4443  2 Pd 2.98
Nd: 0.4443 0.4443 0.0557  2 Pd 2.98
Nd: 0.6017 0.1948 0.6017  3 Pd 2.96
Nd: 0.6017 0.6017 0.1948  3 Pd 2.96
Nd: 0.6017 0.6017 0.6017  3 Pd 2.96
Nd: 0.8141 0.1859 0.1859  2 In 3.41, 2 Pd 3.65, 10 Nd 3.65-3.75
Nd: 0.8141 0.1859 0.8141  2 In 3.41, 2 Pd 3.65, 10 Nd 3.65-3.75
Nd: 0.8141 0.8141 0.1859  2 In 3.41, 2 Pd 3.65, 10 Nd 3.65-3.75
In: 0.5073 0.8309 0.8309  3 In 3.25, 9 Nd 3.41-3.59
In: 0.8309 0.5073 0.8309  3 In 3.25, 9 Nd 3.41-3.59
In: 0.8309 0.8309 0.5073  3 In 3.25, 9 Nd 3.41-3.59
In: 0.8309 0.8309 0.8309  3 In 3.25, 9 Nd 3.41-3.59
Pd: 0.3936 0.3936 0.3936  6 Nd 2.96-2.98
Pd: 0.3936 0.3936 0.8192  6 Nd 2.96-2.98
Pd: 0.3936 0.8192 0.3936  6 Nd 2.96-2.98
Pd: 0.8192 0.3936 0.3936  6 Nd 2.96-2.98

Properties
Size of the total moment ... 0.00 μB per cell

The structure with the least stability is version w.

Version w
Entry from the Alexandria database: Nd2In5Pd3 after structural relaxation (PBE).

Cell lengths 13.6504, 13.6504, 7.3391 Å; angles 90.00, 90.00, 160.59 degrees
With the nearest neighbours (Å) after each atom.
Positions (direct):
Nd: 0.0217 0.9783 0.5000  3 Pd 2.95-3.17, 2 In 3.29
Nd: 0.3257 0.6743 0.5640  4 Pd 3.22-3.51, 10 In 3.27-3.60
Nd: 0.6743 0.3257 0.0640  4 Pd 3.22-3.51, 10 In 3.27-3.60
Nd: 0.9783 0.0217 0.0000  3 Pd 2.95-3.17, 2 In 3.29
In: 0.0988 0.9012 0.8685  3 Pd 2.76-2.84, 1 In 3.04
In: 0.2066 0.7934 0.3645  4 Pd 2.77-2.81, 1 In 3.01
In: 0.2089 0.7911 0.7739  3 Pd 2.78, 2 In 3.01-3.04
In: 0.3754 0.6246 0.0200  4 Pd 2.79-3.05
In: 0.4477 0.5523 0.6704  4 Pd 2.79-2.86
In: 0.5523 0.4477 0.1704  4 Pd 2.79-2.86
In: 0.6246 0.3754 0.5200  4 Pd 2.79-3.05
In: 0.7911 0.2089 0.2739  3 Pd 2.78, 2 In 3.01-3.04
In: 0.7934 0.2066 0.8645  4 Pd 2.77-2.81, 1 In 3.01
In: 0.9012 0.0988 0.3685  3 Pd 2.76-2.84, 1 In 3.04
Pd: 0.1082 0.8918 0.2534  6 In 2.77-3.05, 1 Nd 2.95
Pd: 0.2728 0.7272 0.0716  7 In 2.78-2.81
Pd: 0.4530 0.5470 0.2818  5 In 2.76-2.86
Pd: 0.5470 0.4530 0.7818  5 In 2.76-2.86
Pd: 0.7272 0.2728 0.5716  7 In 2.78-2.81
Pd: 0.8918 0.1082 0.7534  6 In 2.77-3.05, 1 Nd 2.95

Properties
Size of the total moment ... 0.00 μB per cell

Version x
Entry from the Alexandria database: Nd2In5Pd3 after structural relaxation (PBE).

Cell lengths 9.3308, 9.3308, 9.3308 Å; angles 108.42, 84.20, 141.72 degrees
With the nearest neighbours (Å) after each atom.
Positions (direct):
Nd: 0.1538 0.2156 0.3694  4 Pd 3.33-3.45, 9 In 3.38-3.52
Nd: 0.3462 0.7156 0.0618  4 Pd 3.33-3.45, 9 In 3.38-3.52
Nd: 0.6538 0.2844 0.9382  4 Pd 3.33-3.45, 9 In 3.38-3.52
Nd: 0.8462 0.7844 0.6306  4 Pd 3.33-3.45, 9 In 3.38-3.52
In: 0.0482 0.7500 0.2982  3 Pd 2.74-2.79, 4 In 3.06
In: 0.0773 0.6839 0.7612  3 Pd 2.67-2.74
In: 0.2500 0.2500 0.0000  4 Pd 2.76, 2 In 3.06
In: 0.4227 0.1839 0.6066  3 Pd 2.67-2.74
In: 0.4518 0.7500 0.7018  3 Pd 2.74-2.79, 4 In 3.06
In: 0.5482 0.2500 0.2982  3 Pd 2.74-2.79, 4 In 3.06
In: 0.5773 0.8161 0.3934  3 Pd 2.67-2.74
In: 0.7500 0.7500 0.0000  4 Pd 2.76, 2 In 3.06
In: 0.9227 0.3161 0.2388  3 Pd 2.67-2.74
In: 0.9518 0.2500 0.7018  3 Pd 2.74-2.79, 4 In 3.06
Pd: 0.1499 0.9108 0.0607  5 In 2.67-2.76
Pd: 0.2500 0.7500 0.5000  6 In 2.74-2.79, 2 Pd 3.06
Pd: 0.3501 0.4108 0.7609  5 In 2.67-2.76
Pd: 0.6499 0.5892 0.2391  5 In 2.67-2.76
Pd: 0.7500 0.2500 0.5000  6 In 2.74-2.79, 2 Pd 3.06
Pd: 0.8501 0.0892 0.9393  5 In 2.67-2.76

Properties
Size of the total moment ... 0.00 μB per cell

The structure with the least stability is version x.

Version w
Entry from the Alexandria database: Pm2NdIn after structural relaxation (PBE).

Cell lengths 3.6578, 3.6578, 9.5085 Å; angles 90.00, 90.00, 90.00 degrees
With the nearest neighbours (Å) after each atom.
Positions (direct):
Pm: 0.0000 0.0000 0.2230  4 In 3.34, 4 Pm 3.66, 4 Nd 3.69
Pm: 0.0000 0.0000 0.7770  4 In 3.34, 4 Pm 3.66, 4 Nd 3.69
Nd: 0.5000 0.5000 0.5000  4 Nd 3.66, 8 Pm 3.69
In: 0.5000 0.5000 0.0000  8 Pm 3.34, 4 In 3.66

Properties
Size of the total moment ... 0.00 μB per cell

Version x
Entry from the Alexandria database: Pm2NdIn after structural relaxation (PBE).

Cell lengths 4.9751, 4.9751, 4.9523 Å; angles 90.00, 90.00, 90.00 degrees
With the nearest neighbours (Å) after each atom.
Positions (direct):
Pm: 0.0000 0.5000 0.0000  4 In 3.51, 4 Nd 3.51, 4 Pm 3.52
Pm: 0.5000 0.0000 0.0000  4 In 3.51, 4 Nd 3.51, 4 Pm 3.52
Nd: 0.0000 0.0000 0.5000  8 Pm 3.51, 4 In 3.52
In: 0.5000 0.5000 0.5000  8 Pm 3.51, 4 Nd 3.52

Properties
Size of the total moment ... 0.25 μB per cell

Version y
Entry from the Alexandria database: Pm2NdIn after structural relaxation (PBE).

Cell lengths 3.7254, 3.7254, 32.9941 Å; angles 90.00, 90.00, 120.00 degrees
With the nearest neighbours (Å) after each atom.
Positions (direct):
Pm: 0.0000 0.0000 0.0000  3 In 3.30
Pm: 0.0000 0.0000 0.1814  3 In 3.31, 3 Nd 3.68
Pm: 0.3333 0.6667 0.6667  3 In 3.30
Pm: 0.3333 0.6667 0.8481  3 In 3.31, 3 Nd 3.68
Pm: 0.6667 0.3333 0.3333  3 In 3.30
Pm: 0.6667 0.3333 0.5148  3 In 3.31, 3 Nd 3.68
Nd: 0.0000 0.0000 0.7577  6 Pm 3.68-3.69, 6 Nd 3.73
Nd: 0.3333 0.6667 0.4243  6 Pm 3.68-3.69, 6 Nd 3.73
Nd: 0.6667 0.3333 0.0910  6 Pm 3.68-3.69, 6 Nd 3.73
In: 0.0000 0.0000 0.5910  6 Pm 3.30-3.31
In: 0.3333 0.6667 0.2576  6 Pm 3.30-3.31
In: 0.6667 0.3333 0.9243  6 Pm 3.30-3.31

Properties
Size of the total moment ... 0.00 μB per cell

The structure with the least stability is version y.

Version w
Entry from the Alexandria database: Pm2NdIn after structural relaxation (PBE).

Cell lengths 7.9068, 7.9068, 7.9068 Å; angles 90.00, 90.00, 90.00 degrees
With the nearest neighbours (Å) after each atom.
Positions (direct):
Pm: 0.2500 0.2500 0.2500  4 In 3.42, 4 Nd 3.42
Pm: 0.2500 0.2500 0.7500  4 In 3.42, 4 Nd 3.42
Pm: 0.2500 0.7500 0.2500  4 In 3.42, 4 Nd 3.42
Pm: 0.2500 0.7500 0.7500  4 In 3.42, 4 Nd 3.42
Pm: 0.7500 0.2500 0.2500  4 In 3.42, 4 Nd 3.42
Pm: 0.7500 0.2500 0.7500  4 In 3.42, 4 Nd 3.42
Pm: 0.7500 0.7500 0.2500  4 In 3.42, 4 Nd 3.42
Pm: 0.7500 0.7500 0.7500  4 In 3.42, 4 Nd 3.42
Nd: 0.0000 0.0000 0.0000  8 Pm 3.42
Nd: 0.0000 0.5000 0.5000  8 Pm 3.42
Nd: 0.5000 0.0000 0.5000  8 Pm 3.42
Nd: 0.5000 0.5000 0.0000  8 Pm 3.42
In: 0.0000 0.0000 0.5000  8 Pm 3.42
In: 0.0000 0.5000 0.0000  8 Pm 3.42
In: 0.5000 0.0000 0.0000  8 Pm 3.42
In: 0.5000 0.5000 0.5000  8 Pm 3.42

Properties
Size of the total moment ... 5.42 μB per cell

Version x
Entry from the Alexandria database: Pm2NdIn after structural relaxation (PBE).

Cell lengths 3.5492, 3.5492, 36.2957 Å; angles 90.00, 90.00, 120.00 degrees
With the nearest neighbours (Å) after each atom.
Positions (direct):
Pm: 0.0000 0.0000 0.0955  3 In 3.30, 1 Nd 3.46, 6 Pm 3.55
Pm: 0.0000 0.0000 0.9045  3 In 3.30, 1 Nd 3.46, 6 Pm 3.55
Pm: 0.3333 0.6667 0.5712  3 In 3.30, 1 Nd 3.46, 6 Pm 3.55
Pm: 0.3333 0.6667 0.7621  3 In 3.30, 1 Nd 3.46, 6 Pm 3.55
Pm: 0.6667 0.3333 0.2379  3 In 3.30, 1 Nd 3.46, 6 Pm 3.55
Pm: 0.6667 0.3333 0.4288  3 In 3.30, 1 Nd 3.46, 6 Pm 3.55
Nd: 0.0000 0.0000 0.0000  2 Pm 3.46, 6 Nd 3.55
Nd: 0.3333 0.6667 0.6667  2 Pm 3.46, 6 Nd 3.55
Nd: 0.6667 0.3333 0.3333  2 Pm 3.46, 6 Nd 3.55
In: 0.0000 0.0000 0.5000  6 Pm 3.30, 6 In 3.55
In: 0.3333 0.6667 0.1667  6 Pm 3.30, 6 In 3.55
In: 0.6667 0.3333 0.8333  6 Pm 3.30, 6 In 3.55

Properties
Size of the total moment ... 0.01 μB per cell

The structure with the least stability is version x.